--- w ---
# RbBaF2

A geometry-optimized RbBaF2 structure (GGA-PBE, the Alexandria database). Values from VASP.

```
&SYSTEM
  ibrav = 0, nat = 8, ntyp = 3
/
ATOMIC_SPECIES
Ba 137.33 Ba.upf
Rb 85.47 Rb.upf
F 19.00 F.upf
ATOMIC_POSITIONS crystal
Ba 0.0000 0.0000 0.0000
Ba 0.7500 0.2500 0.5000
Rb 0.5000 0.5000 0.0000
Rb 0.2500 0.7500 0.5000
F 0.7120 0.1250 0.2500
F 0.0380 0.6250 0.2500
F 0.3750 0.2880 0.7500
F 0.8750 0.9620 0.7500
CELL_PARAMETERS angstrom
-0.8974 -2.5117 6.0431
-2.4976 -5.5065 -2.6596
4.3103 -6.6373 1.4915
```

=====

--- x ---
# RbBaF2

A geometry-optimized RbBaF2 structure (GGA-PBE, the Alexandria database). Values from VASP.

```
&SYSTEM
  ibrav = 0, nat = 4, ntyp = 3
/
ATOMIC_SPECIES
Ba 137.33 Ba.upf
Rb 85.47 Rb.upf
F 19.00 F.upf
ATOMIC_POSITIONS crystal
Ba 0.5000 0.5000 0.5000
Rb 0.0000 0.0000 0.0000
F 0.8738 0.8738 0.8738
F 0.1262 0.1262 0.1262
CELL_PARAMETERS angstrom
2.5454 0.0000 7.6948
-1.2727 2.2044 7.6948
-1.2727 -2.2044 7.6948
```

=====

Which structure is the least stable? The one labeled w.

=====

--- w ---
# Rb2BaSbF

A geometry-optimized Rb2BaSbF structure (GGA-PBE, the Alexandria database). Values from VASP.

```
&SYSTEM
  ibrav = 0, nat = 5, ntyp = 4
/
ATOMIC_SPECIES
Sb 121.76 Sb.upf
Ba 137.33 Ba.upf
Rb 85.47 Rb.upf
F 19.00 F.upf
ATOMIC_POSITIONS crystal
Sb 0.5000 0.5000 0.5000
Ba 0.0000 0.0000 0.0000
Rb 0.0000 0.0000 0.5000
Rb 0.5000 0.0000 0.0000
F 0.0000 0.5000 0.0000
CELL_PARAMETERS angstrom
7.3225 0.0000 0.0000
0.0000 4.7682 0.0000
0.0000 0.0000 7.3225
```

=====

--- x ---
# Rb2BaSbF

A geometry-optimized Rb2BaSbF structure (GGA-PBE, the Alexandria database). Values from VASP.

```
&SYSTEM
  ibrav = 0, nat = 5, ntyp = 4
/
ATOMIC_SPECIES
Sb 121.76 Sb.upf
Ba 137.33 Ba.upf
Rb 85.47 Rb.upf
F 19.00 F.upf
ATOMIC_POSITIONS crystal
Sb 0.5000 0.5000 0.5000
Ba 0.0000 0.0000 0.5000
Rb 0.0000 0.5000 0.0000
Rb 0.5000 0.0000 0.0000
F 0.0000 0.0000 0.0000
CELL_PARAMETERS angstrom
-4.2751 -2.6094 -2.0559
3.2937 -3.7659 -2.0692
-0.4692 -3.1280 4.9458
```

=====

Which structure is the least stable? The one labeled w.

=====

--- w ---
# Rb2BaSrF6

A geometry-optimized Rb2BaSrF6 structure (GGA-PBE, the Alexandria database). Values from VASP.

```
&SYSTEM
  ibrav = 0, nat = 10, ntyp = 4
/
ATOMIC_SPECIES
Sr 87.62 Sr.upf
Ba 137.33 Ba.upf
Rb 85.47 Rb.upf
F 19.00 F.upf
ATOMIC_POSITIONS crystal
Sr 0.5000 0.5000 0.0000
Ba 0.0000 0.0000 0.0000
Rb 0.7500 0.2500 0.5000
Rb 0.2500 0.7500 0.5000
F 0.2579 0.2579 0.4842
F 0.7421 0.7421 0.5158
F 0.2579 0.2579 0.0000
F 0.7421 0.7421 0.0000
F 0.7421 0.2579 0.0000
F 0.2579 0.7421 0.0000
CELL_PARAMETERS angstrom
6.9937 0.0000 0.0000
0.0000 6.9937 0.0000
3.4969 3.4969 4.9461
```

=====

--- x ---
# Rb2BaSrF6

A geometry-optimized Rb2BaSrF6 structure (GGA-PBE, the Alexandria database). Values from VASP.

```
&SYSTEM
  ibrav = 0, nat = 20, ntyp = 4
/
ATOMIC_SPECIES
Rb 85.47 Rb.upf
Ba 137.33 Ba.upf
Sr 87.62 Sr.upf
F 19.00 F.upf
ATOMIC_POSITIONS crystal
Rb 0.0149 0.9536 0.2509
Rb 0.5149 0.5464 0.7509
Rb 0.9851 0.0464 0.7491
Rb 0.4851 0.4536 0.2491
Ba 0.5000 0.0000 0.0000
Ba 0.0000 0.5000 0.5000
Sr 0.5000 0.0000 0.5000
Sr 0.0000 0.5000 0.0000
F 0.2882 0.6976 0.0549
F 0.7882 0.8024 0.5549
F 0.7118 0.3024 0.9451
F 0.2118 0.1976 0.4451
F 0.3056 0.7141 0.4403
F 0.8056 0.7859 0.9403
F 0.6944 0.2859 0.5597
F 0.1944 0.2141 0.0597
F 0.8940 0.5480 0.2409
F 0.3940 0.9520 0.7409
F 0.1060 0.4520 0.7591
F 0.6060 0.0480 0.2591
CELL_PARAMETERS angstrom
6.7303 0.0000 -0.0306
0.0000 6.9188 0.0000
0.0150 0.0000 9.5933
```

=====

Which structure is the least stable? The one labeled w.